[1]
The following is a GGA-PBEsol calculation of crystalline Ba2InBr at its relaxed geometry, from Alexandria.

abc: 3.9067 3.9067 9.1438
angles: 90.00 90.00 90.00
Last column: nearest neighbours and their distance in Å.
Element x y z (fractional)
Ba 0.0000 0.0000 0.2481  4 In 3.57, 4 Br 3.60, 4 Ba 3.91
Ba 0.0000 0.0000 0.7519  4 In 3.57, 4 Br 3.60, 4 Ba 3.91
In 0.5000 0.5000 0.0000  8 Ba 3.57, 4 In 3.91
Br 0.5000 0.5000 0.5000  8 Ba 3.60, 4 Br 3.91

## Properties
mass density = 5.6 g/cm³
formation energy from raw total energies = -1.0047 eV/atom
ΔE to the lowest computed polymorph = 0 meV per atom
volume = 34.9 Å³/atom

=====

[2]
The following is a GGA-PBEsol calculation of crystalline BaInBr4 at its relaxed geometry, from Alexandria.

abc: 6.4271 6.4271 6.4271
angles: 60.00 60.00 60.00
Last column: nearest neighbours and their distance in Å.
Element x y z (fractional)
Ba 0.0000 0.0000 0.0000  12 Br 3.77, 4 In 3.94
In 0.2500 0.2500 0.2500  12 Br 3.77, 4 Ba 3.94
Br 0.1248 0.6251 0.6251  6 Br 3.21-3.22
Br 0.6251 0.1248 0.6251  6 Br 3.21-3.22
Br 0.6251 0.6251 0.1248  6 Br 3.21-3.22
Br 0.6251 0.6251 0.6251  6 Br 3.21-3.22

## Properties
mass density = 5.1 g/cm³
formation energy from raw total energies = -0.6258 eV/atom
volume = 31.3 Å³/atom

=====

[3]
The following is a GGA-PBEsol calculation of crystalline Ba2InBr at its relaxed geometry, from Alexandria.

abc: 9.2299 9.2299 9.2299
angles: 28.70 28.70 28.70
Last column: nearest neighbours and their distance in Å.
Element x y z (fractional)
Ba 0.2477 0.2477 0.2477  3 Br 3.41, 3 In 3.48
Ba 0.7523 0.7523 0.7523  3 Br 3.41, 3 In 3.48
In 0.0000 0.0000 0.0000  6 Ba 3.48
Br 0.5000 0.5000 0.5000  6 Ba 3.41

## Properties
mass density = 4.9 g/cm³
formation energy from raw total energies = -0.9588 eV/atom
ΔE to the lowest computed polymorph = 46 meV per atom
volume = 40.1 Å³/atom

=====

[4]
The following is a GGA-PBEsol calculation of crystalline Ba2InBrO3 at its relaxed geometry, from Alexandria.

abc: 4.2437 4.2437 15.4694
angles: 90.00 90.00 90.00
Last column: nearest neighbours and their distance in Å.
Element x y z (fractional)
Ba 0.2500 0.2500 0.0921  1 O 2.54
Ba 0.2500 0.2500 0.3412  4 O 2.73
Ba 0.7500 0.7500 0.6588  4 O 2.73
Ba 0.7500 0.7500 0.9079  1 O 2.54
In 0.2500 0.2500 0.7929  5 O 2.09-2.15
In 0.7500 0.7500 0.2071  5 O 2.09-2.15
Br 0.2500 0.2500 0.5753  5 Ba 3.27-3.62, 1 In 3.36
Br 0.7500 0.7500 0.4247  5 Ba 3.27-3.62, 1 In 3.36
O 0.2500 0.2500 0.9277  1 In 2.09
O 0.2500 0.7500 0.2307  2 In 2.15
O 0.2500 0.7500 0.7693  2 In 2.15
O 0.7500 0.2500 0.2307  2 In 2.15
O 0.7500 0.2500 0.7693  2 In 2.15
O 0.7500 0.7500 0.0723  1 In 2.09

## Properties
mass density = 6.2 g/cm³
formation energy from raw total energies = -2.2245 eV/atom
volume = 19.9 Å³/atom

=====

[5]
The following is a GGA-PBEsol calculation of crystalline BaInSe2Br at its relaxed geometry, from Alexandria.

abc: 6.0281 6.0281 6.1130
angles: 90.00 90.00 90.00
Last column: nearest neighbours and their distance in Å.
Element x y z (fractional)
Ba 0.0000 0.0000 0.0000  4 Se 3.01, 2 Br 3.06
In 0.5000 0.5000 0.5000  4 Br 4.26, 8 Se 4.29
Se 0.0000 0.5000 0.0000  2 Ba 3.01
Se 0.5000 0.0000 0.0000  2 Ba 3.01
Br 0.0000 0.0000 0.5000  2 Ba 3.06

## Properties
mass density = 3.7 g/cm³
formation energy from raw total energies = -0.2853 eV/atom
volume = 44.4 Å³/atom

=====

[6]
The following is a GGA-PBEsol calculation of crystalline KBa2Br at its relaxed geometry, from Alexandria.

abc: 3.9898 3.9898 11.7334
angles: 90.00 90.00 90.00
Last column: nearest neighbours and their distance in Å.
Element x y z (fractional)
K 0.0000 0.0000 0.0000  4 K 3.99
Ba 0.5000 0.5000 0.3170  4 Br 3.55
Ba 0.5000 0.5000 0.6830  4 Br 3.55
Br 0.0000 0.0000 0.5000  8 Ba 3.55

## Properties
mass density = 3.5 g/cm³
formation energy from raw total energies = -0.6123 eV/atom
ΔE to the lowest computed polymorph = 0 meV per atom
volume = 46.7 Å³/atom

=====

[7]
The following is a GGA-PBEsol calculation of crystalline KBaBr2 at its relaxed geometry, from Alexandria.

abc: 10.0025 10.0025 10.0025
angles: 27.51 27.51 27.51
Last column: nearest neighbours and their distance in Å.
Element x y z (fractional)
K 0.0000 0.0000 0.0000  6 Br 3.26
Ba 0.5000 0.5000 0.5000  2 Br 3.05
Br 0.3943 0.3943 0.3943  1 Ba 3.05, 3 K 3.26
Br 0.6057 0.6057 0.6057  1 Ba 3.05, 3 K 3.26

## Properties
mass density = 3.0 g/cm³
formation energy from raw total energies = -1.4661 eV/atom
ΔE to the lowest computed polymorph = 155 meV per atom
volume = 47.1 Å³/atom

=====

[8]
The following is a GGA-PBEsol calculation of crystalline KBa2Br at its relaxed geometry, from Alexandria.

abc: 5.4736 5.4736 6.4186
angles: 90.00 90.00 90.00
Last column: nearest neighbours and their distance in Å.
Element x y z (fractional)
K 0.0000 0.0000 0.0000  4 Br 3.87, 8 Ba 4.22
Ba 0.0000 0.5000 0.5000  4 Ba 3.87, 4 K 4.22, 4 Br 4.22
Ba 0.5000 0.0000 0.5000  4 Ba 3.87, 4 K 4.22, 4 Br 4.22
Br 0.5000 0.5000 0.0000  4 K 3.87, 8 Ba 4.22

## Properties
mass density = 3.4 g/cm³
formation energy from raw total energies = -0.3530 eV/atom
ΔE to the lowest computed polymorph = 259 meV per atom
volume = 48.1 Å³/atom

=====

[9]
The following is a GGA-PBEsol calculation of crystalline K2BaBr at its relaxed geometry, from Alexandria.

abc: 4.0696 4.0696 11.4207
angles: 90.00 90.00 90.00
Last column: nearest neighbours and their distance in Å.
Element x y z (fractional)
K 0.0000 0.0000 0.1662  4 Br 3.45, 1 K 3.80
K 0.0000 0.0000 0.8338  4 Br 3.45, 1 K 3.80
Ba 0.5000 0.5000 0.5000  4 Ba 4.07
Br 0.5000 0.5000 0.0000  8 K 3.45

## Properties
mass density = 2.6 g/cm³
formation energy from raw total energies = -0.7170 eV/atom
ΔE to the lowest computed polymorph = 4 meV per atom
volume = 47.3 Å³/atom

=====

[10]
The following is a GGA-PBEsol calculation of crystalline KBaBr2 at its relaxed geometry, from Alexandria.

abc: 3.9434 3.9434 8.0318
angles: 90.00 90.00 90.00
Last column: nearest neighbours and their distance in Å.
Element x y z (fractional)
K 0.0000 0.0000 0.0000  8 Br 3.46
Ba 0.0000 0.0000 0.5000  8 Br 3.41
Br 0.5000 0.5000 0.2555  4 Ba 3.41, 4 K 3.46
Br 0.5000 0.5000 0.7445  4 Ba 3.41, 4 K 3.46

## Properties
mass density = 4.5 g/cm³
formation energy from raw total energies = -1.5502 eV/atom
ΔE to the lowest computed polymorph = 71 meV per atom
volume = 31.2 Å³/atom

=====

[11]
The following is a GGA-PBEsol calculation of crystalline K2BaBr at its relaxed geometry, from Alexandria.

abc: 4.3325 4.1882 11.5454
angles: 90.00 100.76 90.00
Last column: nearest neighbours and their distance in Å.
Element x y z (fractional)
K 0.0000 0.0000 0.0000  4 K 4.19-4.33, 4 Ba 4.60
K 0.3330 0.5000 0.6707  4 Br 3.36
Ba 0.6520 0.5000 0.3064  2 Br 3.37
Br 0.7671 0.0000 0.5391  4 K 3.36, 2 Ba 3.37

## Properties
mass density = 2.4 g/cm³
formation energy from raw total energies = -0.7214 eV/atom
ΔE to the lowest computed polymorph = 0 meV per atom
volume = 51.5 Å³/atom

=====

[12]
The following is a GGA-PBEsol calculation of crystalline KBaBr2 at its relaxed geometry, from Alexandria.

abc: 8.9041 8.9041 8.9041
angles: 28.18 28.18 28.18
Last column: nearest neighbours and their distance in Å.
Element x y z (fractional)
K 0.0000 0.0000 0.0000  6 Br 3.22
Ba 0.5000 0.5000 0.5000  6 Br 3.36
Br 0.2541 0.2541 0.2541  3 K 3.22, 3 Ba 3.36
Br 0.7459 0.7459 0.7459  3 K 3.22, 3 Ba 3.36

## Properties
mass density = 4.0 g/cm³
formation energy from raw total energies = -1.6213 eV/atom
ΔE to the lowest computed polymorph = 0 meV per atom
volume = 34.8 Å³/atom